First-principles (PBE with a Hubbard U) data for crystalline Be2Ni2SbO6 at its relaxed geometry, as listed in Alexandria.

```
Be2Ni2SbO6
1.0
5.073 0.000 0.000
-2.537 4.394 0.000
0.000 0.000 5.200
Be Ni Sb O
2 2 1 6
direct
0.333 0.667 0.837
0.667 0.333 0.163
0.333 0.667 0.399
0.667 0.333 0.601
0.000 0.000 0.000
0.328 0.365 0.765
0.037 0.672 0.765
0.635 0.963 0.765
0.672 0.635 0.235
0.963 0.328 0.235
0.365 0.037 0.235
```

Properties
Space-group type ... P-3, No. 147

---

First-principles (PBE with a Hubbard U) data for crystalline VTc3O8 at its relaxed geometry, as listed in Alexandria.

```
VTc3O8
1.0
3.799 0.000 -1.119
-0.556 6.206 -1.887
-0.123 0.033 6.593
V Tc O
1 3 8
direct
0.297 0.713 0.595
0.398 0.300 0.796
0.701 0.294 0.402
0.604 0.704 0.207
0.441 0.629 0.882
0.357 0.992 0.715
0.866 0.301 0.731
0.238 0.348 0.476
0.761 0.646 0.522
0.135 0.688 0.269
0.557 0.357 0.115
0.644 0.999 0.289
```

Properties
Space-group type ... Cm, No. 8

---

These records have final energy values of -5.687, -7.933 eV per atom, in the order they appear.